A relaxed structure of BC. Source: the Alexandria database, functional PBE.

## Properties
The calculation puts the volume at 7.03 Å³/atom. The relative energy among the computed polymorphs is 219 meV/atom. The space group is Pm (6). For the formation energy, the calculation gives 35.70 kJ/mol of atoms.

a = 2.6258 Å, b = 3.9154 Å, c = 8.2124 Å
α = 87.65°, β = 90.00°, γ = 90.00°
Fractional coordinates of all 12 atoms:
B 0.0000 0.2709 0.1219
B 0.5000 0.4494 0.7892
B 0.5000 0.4943 0.5111
B 0.0000 0.9640 0.3737
B 0.5000 0.5129 0.1925
B 0.5000 0.8210 0.0283
C 0.0000 0.0122 0.9820
C 0.5000 0.7683 0.3313
C 0.0000 0.2289 0.5105
C 0.0000 0.9889 0.6663
C 0.5000 0.7624 0.6717
C 0.0000 0.2268 0.8215